Here is LiLa2Mn after structural relaxation from the Alexandria database. Energies are from PBE.

Its space group is Imm2, No. 44. The calculation puts the formation energy from the elements at 0.2332 eV per atom. As for the spin magnetization: 2.8 μB/cell. The uncorrected energy is -20.01 eV/cell.

Cell lengths 6.3745, 6.3745, 5.2570 Å; angles 65.65, 65.65, 33.16 degrees
Each line ends with the local moment (μB).
Positions (direct):
La (0.9724, 0.9724, 0.0276)  0.23
La (0.7593, 0.7593, 0.7407)  0.26
Li (0.5397, 0.5397, 0.4603)  0.02
Mn (0.2285, 0.2285, 0.2714)  -3.62